[1]
Computed, not measured: Cs4CaH5 after structural relaxation at the PBE level of DFT.

For the density of states at the Fermi level, the calculation gives 5.66 states/eV/cell. The electronic total energy comes out at -2.38 eV per atom. The calculation puts the size of the total moment at 0.00 μB/f.u.

It has space group I4 (No. 79), with a = 9.5489 Å, b = 9.5489 Å, c = 6.4629 Å, α = 90.00°, β = 90.00° and γ = 90.00°. The inequivalent atoms are Cs at (0.1044, 0.7086, 0.0000), Ca at (0.0000, 0.0000, 0.5358), H at (0.0000, 0.0000, 0.8810) and H at (0.0768, 0.7642, 0.5102).

[2]
Computed, not measured: Cs2CaH2I2 after structural relaxation at the PBE level of DFT.

For the density of states at the Fermi level, the calculation gives 0.00 states/eV/cell. The electronic total energy comes out at -2.89 eV per atom. The calculation puts the size of the total moment at 0.00 μB/f.u.

It has space group I4/mmm (No. 139), with a = 5.1270 Å, b = 5.1270 Å, c = 18.9167 Å, α = 90.00°, β = 90.00° and γ = 90.00°. The inequivalent atoms are Cs at (0.0000, 0.0000, 0.1200), Ca at (0.0000, 0.0000, 0.5000), H at (0.0000, 0.5000, 0.0000) and I at (0.0000, 0.0000, 0.3348).

[3]
Computed, not measured: CsKCaH4 after structural relaxation at the PBE level of DFT.

For the density of states at the Fermi level, the calculation gives 0.00 states/eV/cell. The electronic total energy comes out at -2.82 eV per atom. The calculation puts the size of the total moment at 0.00 μB/f.u.

It has space group I4mm (No. 107), with a = 4.4894 Å, b = 4.4894 Å, c = 14.8517 Å, α = 90.00°, β = 90.00° and γ = 90.00°. The inequivalent atoms are Cs at (0.0000, 0.0000, 0.0000), K at (0.0000, 0.0000, 0.7058), Ca at (0.0000, 0.0000, 0.3475), H at (0.0000, 0.0000, 0.1956), H at (0.0000, 0.0000, 0.5056) and H at (0.0000, 0.5000, 0.3423).

[4]
Computed, not measured: Cs3CaMg2H9 after structural relaxation at the PBE level of DFT.

For the density of states at the Fermi level, the calculation gives 0.00 states/eV/cell. The electronic total energy comes out at -2.80 eV per atom. The calculation puts the size of the total moment at 0.00 μB/f.u.

It has space group P-3m1 (No. 164), with a = 6.1375 Å, b = 6.1375 Å, c = 7.5226 Å, α = 90.00°, β = 90.00° and γ = 120.00°. The inequivalent atoms are Cs at (0.0000, 0.0000, 0.0000), Cs at (0.3333, 0.6667, 0.6721), Ca at (0.0000, 0.0000, 0.5000), Mg at (0.3333, 0.6667, 0.1637), H at (0.0000, 0.5000, 0.0000) and H at (0.1774, 0.3548, 0.3196).

[5]
Computed, not measured: Cs2CaMgH6 after structural relaxation at the PBE level of DFT.

For the density of states at the Fermi level, the calculation gives 0.00 states/eV/cell. The electronic total energy comes out at -2.85 eV per atom. The calculation puts the size of the total moment at 0.00 μB/f.u.

It has space group P4/mmm (No. 123), with a = 4.4404 Å, b = 4.4404 Å, c = 8.7466 Å, α = 90.00°, β = 90.00° and γ = 90.00°. The inequivalent atoms are Cs at (0.0000, 0.0000, 0.2381), Ca at (0.5000, 0.5000, 0.5000), Mg at (0.5000, 0.5000, 0.0000), H at (0.0000, 0.5000, 0.0000), H at (0.0000, 0.5000, 0.5000) and H at (0.5000, 0.5000, 0.2259).

[6]
Computed, not measured: CsNa2CaH after structural relaxation at the PBE level of DFT.

For the density of states at the Fermi level, the calculation gives 3.52 states/eV/cell. The electronic total energy comes out at -1.28 eV per atom. The calculation puts the size of the total moment at 0.00 μB/f.u.

It has space group P4/mmm (No. 123), with a = 7.0455 Å, b = 7.0455 Å, c = 4.9221 Å, α = 90.00°, β = 90.00° and γ = 90.00°. The inequivalent atoms are Cs at (0.0000, 0.0000, 0.0000), Na at (0.0000, 0.5000, 0.0000), Ca at (0.5000, 0.5000, 0.5000) and H at (0.0000, 0.0000, 0.5000).

[7]
Computed, not measured: Cs2CaNi3H12 after structural relaxation at the PBE level of DFT.

For the density of states at the Fermi level, the calculation gives 15.98 states/eV/cell. The electronic total energy comes out at -3.57 eV per atom. The calculation puts the size of the total moment at 0.00 μB/f.u.

It has space group R-3m (No. 166, hexagonal axes), with a = 6.5838 Å, b = 6.5838 Å, c = 16.0804 Å, α = 90.00°, β = 90.00° and γ = 120.00°. The inequivalent atoms are Cs at (0.0000, 0.0000, 0.1120), Ca at (0.0000, 0.0000, 0.5000), Ni at (0.0000, 0.5000, 0.0000), H at (0.0050, 0.5025, 0.9048) and H at (0.1027, 0.5514, 0.3325).

[8]
Computed, not measured: Cs2CaReH after structural relaxation at the PBE level of DFT.

For the density of states at the Fermi level, the calculation gives 5.68 states/eV/cell. The electronic total energy comes out at -2.72 eV per atom. The calculation puts the size of the total moment at 2.89 μB/f.u.

It has space group P4/mmm (No. 123), with a = 5.3997 Å, b = 5.3997 Å, c = 4.9809 Å, α = 90.00°, β = 90.00° and γ = 90.00°. The inequivalent atoms are Cs at (0.0000, 0.5000, 0.0000), Ca at (0.0000, 0.0000, 0.5000), Re at (0.5000, 0.5000, 0.5000) and H at (0.0000, 0.0000, 0.0000).

[9]
Computed, not measured: Cs2CaH6Ru after structural relaxation at the PBE level of DFT.

The electronic total energy comes out at -3.64 eV per atom. The calculation puts the size of the total moment at 0.11 μB/f.u.

It has space group P-3m1 (No. 164), with a = 6.5214 Å, b = 6.5214 Å, c = 5.5568 Å, α = 90.00°, β = 90.00° and γ = 120.00°. The inequivalent atoms are Cs at (0.3333, 0.6667, 0.3326), Ca at (0.0000, 0.0000, 0.0000), H at (0.1284, 0.2568, 0.6780) and Ru at (0.0000, 0.0000, 0.5000).

[10]
Computed, not measured: Cs2SrCaH6 after structural relaxation at the PBE level of DFT.

For the density of states at the Fermi level, the calculation gives 0.00 states/eV/cell. The electronic total energy comes out at -2.94 eV per atom. The calculation puts the size of the total moment at 0.00 μB/f.u.

It has space group P4/mmm (No. 123), with a = 4.7345 Å, b = 4.7345 Å, c = 9.4261 Å, α = 90.00°, β = 90.00° and γ = 90.00°. The inequivalent atoms are Cs at (0.0000, 0.0000, 0.2434), Sr at (0.5000, 0.5000, 0.5000), Ca at (0.5000, 0.5000, 0.0000), H at (0.0000, 0.5000, 0.0000), H at (0.0000, 0.5000, 0.5000) and H at (0.5000, 0.5000, 0.2394).

[11]
Computed, not measured: CsCa2VH after structural relaxation at the PBE level of DFT.

For the density of states at the Fermi level, the calculation gives 4.80 states/eV/cell. The electronic total energy comes out at -2.84 eV per atom. The calculation puts the size of the total moment at 2.90 μB/f.u.

It has space group P4/mmm (No. 123), with a = 6.1273 Å, b = 6.1273 Å, c = 3.8455 Å, α = 90.00°, β = 90.00° and γ = 90.00°. The inequivalent atoms are Cs at (0.0000, 0.0000, 0.0000), Ca at (0.0000, 0.5000, 0.5000), V at (0.5000, 0.5000, 0.0000) and H at (0.5000, 0.5000, 0.5000).

[12]
Computed, not measured: CsCaZn2H6 after structural relaxation at the PBE level of DFT.

For the density of states at the Fermi level, the calculation gives 6.14 states/eV/cell. The electronic total energy comes out at -2.68 eV per atom. The calculation puts the size of the total moment at 0.00 μB/f.u.

It has space group C2/c (No. 15), with a = 10.0704 Å, b = 10.0137 Å, c = 6.5365 Å, α = 90.00°, β = 106.99° and γ = 90.00°. The inequivalent atoms are Cs at (0.0000, 0.1344, 0.2500), Ca at (0.0000, 0.4088, 0.7500), Zn at (0.2339, 0.4213, 0.1680), H at (0.0622, 0.3882, 0.1078), H at (0.1438, 0.1911, 0.7534) and H at (0.2416, 0.4717, 0.8891).